KCu2Re | PBE | optimized geometry Values from VASP.

Geometry as Quantum ESPRESSO input:
```
&SYSTEM
  ibrav = 0, nat = 4, ntyp = 3
/
ATOMIC_SPECIES
Cu 63.55 Cu.upf
K 39.10 K.upf
Re 186.21 Re.upf
CELL_PARAMETERS angstrom
-1.228 -0.413 4.912
4.920 0.158 1.256
-0.129 2.564 0.183
ATOMIC_POSITIONS angstrom
Cu 0.000 0.000 0.000
Cu 1.846 -0.128 3.084
K -0.678 1.076 2.548
Re 2.395 1.361 0.719
```

***

ZrBe3 | PBE | optimized geometry Values from VASP.

Geometry as Quantum ESPRESSO input:
```
&SYSTEM
  ibrav = 0, nat = 4, ntyp = 2
/
ATOMIC_SPECIES
Be 9.01 Be.upf
Zr 91.22 Zr.upf
CELL_PARAMETERS angstrom
-2.944 -1.882 -0.841
-0.469 -0.365 2.459
-3.139 4.346 1.266
ATOMIC_POSITIONS angstrom
Be -3.357 3.685 3.510
Be -4.178 2.045 2.374
Be -2.055 2.287 2.078
Zr -2.374 0.054 0.511
```

***

MgCrBr | PBE | optimized geometry Values from VASP.

Geometry as Quantum ESPRESSO input:
```
&SYSTEM
  ibrav = 0, nat = 3, ntyp = 3
/
ATOMIC_SPECIES
Br 79.90 Br.upf
Cr 52.00 Cr.upf
Mg 24.30 Mg.upf
CELL_PARAMETERS angstrom
-0.834 -5.787 3.594
-0.139 -6.534 0.337
2.709 -0.518 2.010
ATOMIC_POSITIONS angstrom
Br -0.968 -12.305 3.928
Cr 1.483 -4.448 2.649
Mg 0.248 -8.408 3.294
```

***

CrCdN3 | PBE | optimized geometry Values from VASP.

Geometry as Quantum ESPRESSO input:
```
&SYSTEM
  ibrav = 0, nat = 5, ntyp = 3
/
ATOMIC_SPECIES
Cr 52.00 Cr.upf
N 14.01 N.upf
Cd 112.41 Cd.upf
CELL_PARAMETERS angstrom
-2.237 -2.854 -1.004
1.157 0.347 -3.564
2.796 -2.428 0.671
ATOMIC_POSITIONS angstrom
Cr 0.000 0.000 0.000
N 0.578 0.174 -1.782
N 1.398 -1.214 0.335
N -1.119 -1.427 -0.502
Cd 0.858 -2.467 -1.949
```

***

BaHgF3 | PBE | optimized geometry Values from VASP.

Geometry as Quantum ESPRESSO input:
```
&SYSTEM
  ibrav = 0, nat = 5, ntyp = 3
/
ATOMIC_SPECIES
F 19.00 F.upf
Ba 137.33 Ba.upf
Hg 200.59 Hg.upf
CELL_PARAMETERS angstrom
5.103 0.000 0.000
0.000 5.103 0.000
0.000 0.000 5.103
ATOMIC_POSITIONS angstrom
F 0.000 2.551 0.000
F 0.000 0.000 2.551
F 2.551 0.000 0.000
Ba 0.000 0.000 0.000
Hg 2.551 2.551 2.551
```

***

Nd2Ho2Bi2C | PBE | optimized geometry Values from VASP.

Geometry as Quantum ESPRESSO input:
```
&SYSTEM
  ibrav = 0, nat = 7, ntyp = 4
/
ATOMIC_SPECIES
Nd 144.24 Nd.upf
Ho 164.93 Ho.upf
Bi 208.98 Bi.upf
C 12.01 C.upf
CELL_PARAMETERS angstrom
4.839 0.000 0.000
0.000 4.839 0.000
-2.420 -2.420 8.287
ATOMIC_POSITIONS angstrom
Nd 0.000 0.000 2.635
Nd 2.420 2.420 5.652
Ho 0.000 2.420 0.000
Ho 2.420 0.000 0.000
Bi 0.000 0.000 5.988
Bi 2.420 2.420 2.300
C 0.000 0.000 0.000
```

***

K2CoOs | PBE | optimized geometry Values from VASP.

Geometry as Quantum ESPRESSO input:
```
&SYSTEM
  ibrav = 0, nat = 4, ntyp = 3
/
ATOMIC_SPECIES
Co 58.93 Co.upf
K 39.10 K.upf
Os 190.23 Os.upf
CELL_PARAMETERS angstrom
-2.129 5.798 -0.218
-1.777 -4.763 -3.514
-1.885 -0.625 1.800
ATOMIC_POSITIONS angstrom
Co -1.831 -2.694 -0.857
K 0.000 0.000 0.000
K -1.953 0.517 -1.866
Os -2.007 2.587 0.791
```

***

SmEr3Th2P6 | PBE | optimized geometry Values from VASP.

Geometry as Quantum ESPRESSO input:
```
&SYSTEM
  ibrav = 0, nat = 12, ntyp = 4
/
ATOMIC_SPECIES
Sm 150.36 Sm.upf
Er 167.26 Er.upf
Th 232.04 Th.upf
P 30.97 P.upf
CELL_PARAMETERS angstrom
4.062 0.000 0.000
0.000 8.078 0.309
-2.031 -2.308 8.512
ATOMIC_POSITIONS angstrom
Sm 2.031 0.000 0.000
Er 2.031 4.039 0.154
Er 2.031 -0.201 5.742
Er 0.000 5.971 3.078
Th 2.031 3.863 5.905
Th 0.000 1.907 2.915
P 0.000 5.920 5.924
P 2.031 3.992 2.988
P 2.031 -0.150 2.896
P 2.031 -0.237 8.557
P 0.000 6.007 0.264
P 0.000 1.778 5.832
```

***

It is found that the calculated density values, taken in the order of the records, are 8.808; 4.014; 3.827; 6.434; 4.935; 8.969; 6.663; 7.662 g/cm3.
It is found that the calculated total energy values, taken in the order of the records, are -4.59; -4.83; -4.17; -6.35; -3.87; -5.80; -3.75; -7.07 eV per atom.